Entry 1:
{
  "formula": "Mn12SiP3",
  "functional": "PBE-GGA",
  "state": "optimized geometry",
  "mass_density_g_cm3": 7.2,
  "volume_a3_per_atom": 11.3,
  "e_form_raw_mev_per_atom": -333.6,
  "energy_ev_per_atom": -8.56,
  "cell": [[4.484, 0.000, 0.000], [2.227, 6.340, 0.000], [2.201, -0.001, 6.373]],
  "species": ["Mn", "Mn", "Mn", "Mn", "Mn", "Mn", "Mn", "Mn", "Mn", "Mn", "Mn", "Mn", "Si", "P", "P", "P"],
  "frac_coords": [[0.000, 0.000, 0.000], [0.025, 0.861, 0.649], [0.242, 0.491, 0.596], [0.301, 0.720, 0.220], [0.342, 0.056, 0.297], [0.375, 0.069, 0.670], [0.406, 0.292, 0.946], [0.503, 0.646, 0.806], [0.663, 0.698, 0.439], [0.692, 0.360, 0.236], [0.825, 0.288, 0.572], [0.945, 0.628, 0.010], [0.826, 0.012, 0.368], [0.144, 0.423, 0.285], [0.563, 0.927, 0.957], [0.910, 0.340, 0.873]]
}

---

Entry 2:
{
  "formula": "MnSi2P",
  "functional": "PBE-GGA",
  "state": "optimized geometry",
  "mass_density_g_cm3": 4.9,
  "volume_a3_per_atom": 12.1,
  "e_form_raw_mev_per_atom": 209.3,
  "energy_ev_per_atom": -6.15,
  "cell": [[2.396, -3.468, 0.000], [2.396, 3.468, 0.000], [0.000, 0.000, 2.904]],
  "species": ["Mn", "Si", "Si", "P"],
  "frac_coords": [[0.000, 0.000, 0.000], [0.000, 0.500, 0.500], [0.500, 0.000, 0.500], [0.500, 0.500, 0.000]]
}

---

Entry 3:
{
  "formula": "MnSiP",
  "functional": "PBE-GGA",
  "state": "optimized geometry",
  "relative_energy_mev_per_atom": 399.5,
  "mass_density_g_cm3": 4.9,
  "volume_a3_per_atom": 12.9,
  "e_form_raw_mev_per_atom": 117.5,
  "energy_ev_per_atom": -6.55,
  "cell": [[4.212, 0.000, 0.000], [-2.106, 3.648, 0.000], [0.000, 0.000, 2.514]],
  "species": ["Mn", "Si", "P"],
  "frac_coords": [[0.000, 0.000, 0.000], [0.333, 0.667, 0.213], [0.667, 0.333, 0.048]]
}

---

Entry 4:
{
  "formula": "MnSi2P",
  "functional": "PBE-GGA",
  "state": "optimized geometry",
  "mass_density_g_cm3": 4.6,
  "volume_a3_per_atom": 12.8,
  "e_form_raw_mev_per_atom": 139.0,
  "energy_ev_per_atom": -6.22,
  "cell": [[3.262, 0.000, 0.000], [0.000, 3.053, 0.000], [-1.037, 0.000, 5.154]],
  "species": ["Mn", "Si", "Si", "P"],
  "frac_coords": [[0.000, 0.000, 0.000], [0.458, 0.500, 0.764], [0.542, 0.500, 0.236], [0.000, 0.000, 0.500]]
}

---

Entry 5:
{
  "formula": "MnSiP",
  "functional": "PBE-GGA",
  "state": "optimized geometry",
  "relative_energy_mev_per_atom": 291.9,
  "mass_density_g_cm3": 4.7,
  "volume_a3_per_atom": 13.5,
  "e_form_raw_mev_per_atom": 9.9,
  "energy_ev_per_atom": -6.66,
  "cell": [[4.930, 0.000, 0.000], [0.000, 3.857, 0.000], [0.000, 0.000, 8.532]],
  "species": ["Mn", "Mn", "Mn", "Mn", "Si", "Si", "Si", "Si", "P", "P", "P", "P"],
  "frac_coords": [[0.015, 0.250, 0.111], [0.485, 0.750, 0.611], [0.515, 0.250, 0.389], [0.985, 0.750, 0.889], [0.218, 0.750, 0.379], [0.282, 0.250, 0.879], [0.718, 0.750, 0.121], [0.782, 0.250, 0.621], [0.239, 0.250, 0.598], [0.261, 0.750, 0.098], [0.739, 0.250, 0.902], [0.761, 0.750, 0.402]]
}

---

Entry 6:
{
  "formula": "Mn4SiP",
  "functional": "PBE-GGA",
  "state": "optimized geometry",
  "mass_density_g_cm3": 6.4,
  "volume_a3_per_atom": 12.0,
  "e_form_raw_mev_per_atom": 304.3,
  "energy_ev_per_atom": -7.61,
  "cell": [[0.000, 3.301, 3.301], [3.301, 0.000, 3.301], [3.301, 3.301, 0.000]],
  "species": ["Mn", "Mn", "Mn", "Mn", "Si", "P"],
  "frac_coords": [[0.125, 0.125, 0.125], [0.125, 0.125, 0.625], [0.125, 0.625, 0.125], [0.625, 0.125, 0.125], [0.500, 0.500, 0.500], [0.750, 0.750, 0.750]]
}

---

Entry 7:
{
  "formula": "MnSi2P",
  "functional": "PBE-GGA",
  "state": "optimized geometry",
  "mass_density_g_cm3": 4.7,
  "volume_a3_per_atom": 12.6,
  "e_form_raw_mev_per_atom": 183.9,
  "energy_ev_per_atom": -6.17,
  "cell": [[-1.580, 2.143, 3.715], [1.580, -2.143, 3.715], [1.580, 2.143, -3.715]],
  "species": ["Mn", "Si", "Si", "P"],
  "frac_coords": [[0.000, 0.000, 0.000], [0.264, 0.764, 0.500], [0.736, 0.236, 0.500], [0.500, 0.500, 0.000]]
}

---

Entry 8:
{
  "formula": "MnSiP",
  "functional": "PBE-GGA",
  "state": "optimized geometry",
  "relative_energy_mev_per_atom": 462.4,
  "mass_density_g_cm3": 4.7,
  "volume_a3_per_atom": 13.3,
  "e_form_raw_mev_per_atom": 180.5,
  "energy_ev_per_atom": -6.49,
  "cell": [[4.368, 0.000, 0.000], [-2.184, 3.783, 0.000], [0.000, 0.000, 4.832]],
  "species": ["Mn", "Mn", "Si", "Si", "P", "P"],
  "frac_coords": [[0.333, 0.667, 0.250], [0.667, 0.333, 0.750], [0.000, 0.000, 0.000], [0.000, 0.000, 0.500], [0.333, 0.667, 0.750], [0.667, 0.333, 0.250]]
}